[1]
SrZr2TcO8 | GGA-PBE | optimized geometry

abc: 4.9668 4.9545 6.7069
angles: 90.00 90.00 88.19
With the nearest neighbours (Å) after each atom.
Fractional coordinates of all 12 atoms:
O 0.8026 0.2000 0.8022  1 Tc 1.91, 1 Zr 2.11
O 0.1974 0.8000 0.1978  1 Tc 1.91, 1 Zr 2.11
O 0.2876 0.2856 0.0000  1 Tc 2.04, 2 Zr 2.27
O 0.7124 0.7144 0.0000  1 Tc 2.04, 2 Zr 2.27
O 0.1974 0.8000 0.8021  1 Tc 1.91, 1 Zr 2.11
O 0.8026 0.2000 0.1979  1 Tc 1.91, 1 Zr 2.11
O 0.6708 0.6750 0.5000  2 Zr 2.07
O 0.3292 0.3250 0.5000  2 Zr 2.07
Sr 0.0000 0.0000 0.5000  6 O 2.33-2.45
Zr 0.5000 0.5000 0.7486  6 O 2.07-2.27
Zr 0.5000 0.5000 0.2514  6 O 2.07-2.27
Tc 0.0000 0.0000 0.0000  6 O 1.91-2.04

E_form (uncorrected) (eV/atom): -2.499
SG: No. 10



[2]
BaCePu2O8 | GGA-PBE | optimized geometry

abc: 5.5726 5.5726 6.6993
angles: 114.58 114.58 90.00
With the nearest neighbours (Å) after each atom.
Fractional coordinates of all 12 atoms:
O 0.6034 0.6488 0.7631  2 Pu 2.29-2.32, 1 Ce 2.39, 1 O 2.47
O 0.1601 0.6483 0.7630  2 Pu 2.29-2.32, 1 Ce 2.40, 1 O 2.47
O 0.3517 0.3970 0.2370  2 Pu 2.29-2.32, 1 Ce 2.40, 1 O 2.47
O 0.8856 0.3966 0.2369  2 Pu 2.29-2.32, 1 Ce 2.39, 1 O 2.47
O 0.3512 0.8403 0.2369  2 Pu 2.29-2.32, 1 Ce 2.39, 1 O 2.47
O 0.6030 0.1147 0.7630  2 Pu 2.29-2.32, 1 Ce 2.40, 1 O 2.47
O 0.1597 0.1144 0.7631  2 Pu 2.29-2.32, 1 Ce 2.39, 1 O 2.47
O 0.8853 0.8399 0.2370  2 Pu 2.29-2.32, 1 Ce 2.40, 1 O 2.47
Pu 0.5000 0.5000 0.0000  8 O 2.32
Pu 0.2500 0.7500 0.5000  8 O 2.29
Ce 0.0000 0.0000 0.0000  8 O 2.39-2.40
Ba 0.7500 0.2500 0.5000  8 O 2.58

E_form (uncorrected) (eV/atom): -2.838
SG: No. 119



[3]
Ac2PrAl6 | GGA-PBE | optimized geometry

abc: 4.5838 7.7886 7.7886
angles: 120.00 90.00 90.00
With the nearest neighbours (Å) after each atom.
Fractional coordinates of all 9 atoms:
Pr 0.0000 0.0000 0.0000  12 Al 3.44
Al 0.5000 0.3301 0.3301  3 Al 2.57-2.65
Al 0.5000 0.0000 0.3301  3 Al 2.57-2.65
Al 0.5000 0.0000 0.6699  3 Al 2.57-2.65
Al 0.5000 0.6699 0.0000  3 Al 2.57-2.65
Al 0.5000 0.6699 0.6699  3 Al 2.57-2.65
Al 0.5000 0.3301 0.0000  3 Al 2.57-2.65
Ac 0.0000 0.6667 0.3333  12 Al 3.47
Ac 0.0000 0.3333 0.6667  12 Al 3.47

Formation energy (meV/atom): -406
SG: No. 191